No. 1
A plane-wave DFT calculation with GGA-PBE was carried out for a relaxed RbLiZn2 crystal.

a = 7.815 Å, b = 7.815 Å, c = 7.815 Å
α = 90.00°, β = 90.00°, γ = 90.00°
Positions (direct):
Rb (0.000, 0.000, 0.000)
Rb (0.000, 0.500, 0.500)
Rb (0.500, 0.000, 0.500)
Rb (0.500, 0.500, 0.000)
Li (0.000, 0.000, 0.500)
Li (0.000, 0.500, 0.000)
Li (0.500, 0.000, 0.000)
Li (0.500, 0.500, 0.500)
Zn (0.250, 0.250, 0.250)
Zn (0.250, 0.250, 0.750)
Zn (0.250, 0.750, 0.250)
Zn (0.250, 0.750, 0.750)
Zn (0.750, 0.250, 0.250)
Zn (0.750, 0.250, 0.750)
Zn (0.750, 0.750, 0.250)
Zn (0.750, 0.750, 0.750)

Results
The value obtained for the energy relative to the elements is 0.282 eV/atom. For the energy above the most stable polymorph in this dataset, the calculation gives 0.113 eV/atom. As for the crystal system: cubic. Its space-group type is Fm-3m, No. 225. As for the total DFT energy (no corrections): -1.08 eV per atom. Its density of states at the Fermi level is 0.614 states/eV/atom.


No. 2
A plane-wave DFT calculation with GGA-PBE was carried out for a relaxed RbLiZn2 crystal.

a = 5.378 Å, b = 5.378 Å, c = 18.586 Å
α = 90.00°, β = 90.00°, γ = 90.00°
Positions (direct):
Rb (0.000, 0.250, 0.375)
Rb (0.000, 0.750, 0.625)
Rb (0.500, 0.250, 0.125)
Rb (0.500, 0.750, 0.875)
Li (0.000, 0.250, 0.875)
Li (0.000, 0.750, 0.125)
Li (0.500, 0.250, 0.625)
Li (0.500, 0.750, 0.375)
Zn (0.000, 0.000, 0.000)
Zn (0.000, 0.500, 0.000)
Zn (0.250, 0.250, 0.750)
Zn (0.250, 0.750, 0.250)
Zn (0.500, 0.000, 0.500)
Zn (0.500, 0.500, 0.500)
Zn (0.750, 0.250, 0.750)
Zn (0.750, 0.750, 0.250)

Results
The value obtained for the energy relative to the elements is 0.169 eV/atom. For the energy above the most stable polymorph in this dataset, the calculation gives 0.000 eV/atom. As for the crystal system: tetragonal. Its space-group type is I4_1/amd, No. 141. As for the total DFT energy (no corrections): -1.19 eV per atom. Its density of states at the Fermi level is 0.174 states/eV/atom.


No. 3
A plane-wave DFT calculation with GGA-PBE was carried out for a relaxed RbLiZr3 crystal.

a = 5.133 Å, b = 5.133 Å, c = 5.133 Å
α = 90.00°, β = 90.00°, γ = 90.00°
Positions (direct):
Rb (0.000, 0.000, 0.000)
Li (0.500, 0.500, 0.500)
Zr (0.000, 0.000, 0.500)
Zr (0.000, 0.500, 0.000)
Zr (0.500, 0.000, 0.000)

Results
The value obtained for the energy relative to the elements is 2.032 eV/atom. For the energy above the most stable polymorph in this dataset, the calculation gives 0.827 eV/atom. As for the crystal system: cubic. Its space-group type is Pm-3m, No. 221. As for the total DFT energy (no corrections): -3.67 eV per atom. Its density of states at the Fermi level is 1.141 states/eV/atom.


No. 4
A plane-wave DFT calculation with GGA-PBE was carried out for a relaxed Rb2LiZr crystal.

a = 10.279 Å, b = 10.279 Å, c = 7.001 Å
α = 90.00°, β = 90.00°, γ = 90.00°
Positions (direct):
Rb (0.213, 0.250, 0.125)
Rb (0.250, 0.713, 0.375)
Rb (0.250, 0.787, 0.875)
Rb (0.287, 0.250, 0.625)
Rb (0.713, 0.750, 0.625)
Rb (0.750, 0.213, 0.875)
Rb (0.750, 0.287, 0.375)
Rb (0.787, 0.750, 0.125)
Li (0.000, 0.000, 0.000)
Li (0.000, 0.500, 0.250)
Li (0.500, 0.000, 0.750)
Li (0.500, 0.500, 0.500)
Zr (0.000, 0.000, 0.500)
Zr (0.000, 0.500, 0.750)
Zr (0.500, 0.000, 0.250)
Zr (0.500, 0.500, 0.000)

Results
The value obtained for the energy relative to the elements is 1.123 eV/atom. For the energy above the most stable polymorph in this dataset, the calculation gives 0.007 eV/atom. As for the crystal system: tetragonal. Its space-group type is I-42d, No. 122. As for the total DFT energy (no corrections): -1.98 eV per atom. Its density of states at the Fermi level is 1.538 states/eV/atom.


No. 5
A plane-wave DFT calculation with GGA-PBE was carried out for a relaxed RbLi2Zr crystal.

a = 8.387 Å, b = 8.387 Å, c = 7.079 Å
α = 90.00°, β = 90.00°, γ = 90.00°
Positions (direct):
Rb (0.000, 0.000, 0.000)
Rb (0.000, 0.500, 0.250)
Rb (0.500, 0.000, 0.750)
Rb (0.500, 0.500, 0.500)
Li (0.235, 0.250, 0.625)
Li (0.250, 0.735, 0.875)
Li (0.250, 0.765, 0.375)
Li (0.265, 0.250, 0.125)
Li (0.735, 0.750, 0.125)
Li (0.750, 0.235, 0.375)
Li (0.750, 0.265, 0.875)
Li (0.765, 0.750, 0.625)
Zr (0.000, 0.000, 0.500)
Zr (0.000, 0.500, 0.750)
Zr (0.500, 0.000, 0.250)
Zr (0.500, 0.500, 0.000)

Results
The value obtained for the energy relative to the elements is 0.972 eV/atom. For the energy above the most stable polymorph in this dataset, the calculation gives 0.060 eV/atom. As for the crystal system: tetragonal. Its space-group type is I-42d, No. 122. As for the total DFT energy (no corrections): -2.36 eV per atom. Its density of states at the Fermi level is 1.127 states/eV/atom.


No. 6
A plane-wave DFT calculation with GGA-PBE was carried out for a relaxed RbLiZr3 crystal.

a = 5.101 Å, b = 5.101 Å, c = 5.101 Å
α = 90.00°, β = 90.00°, γ = 90.00°
Positions (direct):
Rb (0.000, 0.000, 0.000)
Li (0.500, 0.500, 0.500)
Zr (0.000, 0.500, 0.500)
Zr (0.500, 0.000, 0.500)
Zr (0.500, 0.500, 0.000)

Results
The value obtained for the energy relative to the elements is 1.205 eV/atom. For the energy above the most stable polymorph in this dataset, the calculation gives 0.000 eV/atom. As for the crystal system: cubic. Its space-group type is Pm-3m, No. 221. As for the total DFT energy (no corrections): -4.50 eV per atom. Its density of states at the Fermi level is 1.515 states/eV/atom.


No. 7
A plane-wave DFT calculation with GGA-PBE was carried out for a relaxed RbLi2Zr crystal.

a = 7.913 Å, b = 7.913 Å, c = 7.913 Å
α = 90.00°, β = 90.00°, γ = 90.00°
Positions (direct):
Rb (0.000, 0.000, 0.000)
Rb (0.000, 0.500, 0.500)
Rb (0.500, 0.000, 0.500)
Rb (0.500, 0.500, 0.000)
Li (0.250, 0.250, 0.250)
Li (0.250, 0.250, 0.750)
Li (0.250, 0.750, 0.250)
Li (0.250, 0.750, 0.750)
Li (0.750, 0.250, 0.250)
Li (0.750, 0.250, 0.750)
Li (0.750, 0.750, 0.250)
Li (0.750, 0.750, 0.750)
Zr (0.000, 0.000, 0.500)
Zr (0.000, 0.500, 0.000)
Zr (0.500, 0.000, 0.000)
Zr (0.500, 0.500, 0.500)

Results
The value obtained for the energy relative to the elements is 0.912 eV/atom. For the energy above the most stable polymorph in this dataset, the calculation gives 0.000 eV/atom. As for the crystal system: cubic. Its space-group type is Fm-3m, No. 225. As for the total DFT energy (no corrections): -2.42 eV per atom. Its density of states at the Fermi level is 1.378 states/eV/atom.


No. 8
A plane-wave DFT calculation with GGA-PBE was carried out for a relaxed Rb2LiZr crystal.

a = 9.130 Å, b = 9.130 Å, c = 9.130 Å
α = 90.00°, β = 90.00°, γ = 90.00°
Positions (direct):
Rb (0.250, 0.250, 0.250)
Rb (0.250, 0.250, 0.750)
Rb (0.250, 0.750, 0.250)
Rb (0.250, 0.750, 0.750)
Rb (0.750, 0.250, 0.250)
Rb (0.750, 0.250, 0.750)
Rb (0.750, 0.750, 0.250)
Rb (0.750, 0.750, 0.750)
Li (0.000, 0.000, 0.000)
Li (0.000, 0.500, 0.500)
Li (0.500, 0.000, 0.500)
Li (0.500, 0.500, 0.000)
Zr (0.000, 0.000, 0.500)
Zr (0.000, 0.500, 0.000)
Zr (0.500, 0.000, 0.000)
Zr (0.500, 0.500, 0.500)

Results
The value obtained for the energy relative to the elements is 1.116 eV/atom. For the energy above the most stable polymorph in this dataset, the calculation gives 0.000 eV/atom. As for the crystal system: cubic. Its space-group type is Fm-3m, No. 225. As for the total DFT energy (no corrections): -1.98 eV per atom. Its density of states at the Fermi level is 3.855 states/eV/atom.


No. 9
A plane-wave DFT calculation with GGA-PBE was carried out for a relaxed LiRe crystal.

a = 10.780 Å, b = 2.541 Å, c = 6.690 Å
α = 90.00°, β = 101.41°, γ = 90.00°
Positions (direct):
Li (0.000, 0.000, 0.000)
Li (0.056, 0.000, 0.652)
Li (0.143, 0.500, 0.343)
Li (0.500, 0.500, 0.000)
Li (0.556, 0.500, 0.652)
Li (0.643, 0.000, 0.343)
Re (0.244, 0.500, 0.981)
Re (0.320, 0.000, 0.660)
Re (0.374, 0.000, 0.317)
Re (0.744, 0.000, 0.981)
Re (0.820, 0.500, 0.660)
Re (0.874, 0.500, 0.317)

Results
The value obtained for the energy relative to the elements is 0.346 eV/atom. For the energy above the most stable polymorph in this dataset, the calculation gives 0.202 eV/atom. As for the crystal system: monoclinic. Its space-group type is Cm, No. 8. As for the total DFT energy (no corrections): -6.83 eV per atom. Its density of states at the Fermi level is 0.727 states/eV/atom.


No. 10
A plane-wave DFT calculation with GGA-PBE was carried out for a relaxed LiRe5 crystal.

a = 4.322 Å, b = 9.287 Å, c = 4.317 Å
α = 90.00°, β = 90.00°, γ = 90.00°
Positions (direct):
Li (0.000, 0.000, 0.000)
Li (0.500, 0.500, 0.000)
Re (0.000, 0.162, 0.500)
Re (0.000, 0.331, 0.000)
Re (0.000, 0.500, 0.500)
Re (0.000, 0.669, 0.000)
Re (0.000, 0.838, 0.500)
Re (0.500, 0.000, 0.500)
Re (0.500, 0.169, 0.000)
Re (0.500, 0.338, 0.500)
Re (0.500, 0.662, 0.500)
Re (0.500, 0.831, 0.000)

Results
The value obtained for the energy relative to the elements is 0.091 eV/atom. For the energy above the most stable polymorph in this dataset, the calculation gives 0.000 eV/atom. As for the crystal system: orthorhombic. Its space-group type is Cmmm, No. 65. As for the total DFT energy (no corrections): -10.60 eV per atom. Its density of states at the Fermi level is 0.387 states/eV/atom.